(1)
! K2TiSiHg, optimized geometry, DFT PBE; values from VASP
! **DFT total energy**: -2.594 eV per atom
&SYSTEM
  ibrav = 0, nat = 5, ntyp = 4
/
ATOMIC_SPECIES
K 39.10 K.upf
Ti 47.87 Ti.upf
Si 28.09 Si.upf
Hg 200.59 Hg.upf
CELL_PARAMETERS angstrom
6.6865 0.0000 0.0000
0.0000 6.6865 0.0000
0.0000 0.0000 4.8584
ATOMIC_POSITIONS crystal
K 0.0000 0.5000 0.0000
K 0.5000 0.0000 0.0000
Ti 0.0000 0.0000 0.0000
Si 0.0000 0.0000 0.5000
Hg 0.5000 0.5000 0.5000

***

(2)
! Ni3OsPb, optimized geometry, DFT PBE; values from VASP
! **ΔE to the lowest computed polymorph**: 0.00 eV/f.u.
! **DFT total energy**: -5.405 eV per atom
! **Energy of formation**: 1051 meV/atom
&SYSTEM
  ibrav = 0, nat = 5, ntyp = 3
/
ATOMIC_SPECIES
Ni 58.69 Ni.upf
Os 190.23 Os.upf
Pb 207.20 Pb.upf
CELL_PARAMETERS angstrom
4.5812 0.0000 0.0000
0.0000 4.5812 0.0000
0.0000 0.0000 4.5812
ATOMIC_POSITIONS crystal
Ni 0.0000 0.0000 0.5000
Ni 0.0000 0.5000 0.0000
Ni 0.5000 0.0000 0.0000
Os 0.0000 0.0000 0.0000
Pb 0.5000 0.5000 0.5000

***

(3)
! OsPt2Br, optimized geometry, DFT PBE; values from VASP
! **ΔE to the lowest computed polymorph**: 0.23 eV/f.u.
! **DFT total energy**: -5.748 eV per atom
&SYSTEM
  ibrav = 0, nat = 4, ntyp = 3
/
ATOMIC_SPECIES
Os 190.23 Os.upf
Pt 195.08 Pt.upf
Br 79.90 Br.upf
CELL_PARAMETERS angstrom
4.4523 -1.4302 0.0000
4.4523 1.4302 0.0000
-1.4097 0.0000 6.4852
ATOMIC_POSITIONS crystal
Os 0.0000 0.0000 0.0000
Pt 0.2545 0.2545 0.8773
Pt 0.4975 0.4975 0.6646
Br 0.5942 0.5942 0.3260

***

(4)
! Sm2ErGa2Ag2, optimized geometry, DFT PBE; values from VASP
! **DFT total energy**: -4.050 eV per atom
! **Energy of formation**: -370 meV/atom
&SYSTEM
  ibrav = 0, nat = 7, ntyp = 4
/
ATOMIC_SPECIES
Sm 150.36 Sm.upf
Er 167.26 Er.upf
Ga 69.72 Ga.upf
Ag 107.87 Ag.upf
CELL_PARAMETERS angstrom
2.3037 1.3300 9.0906
-2.3037 1.3300 9.0906
0.0000 -2.6601 9.0906
ATOMIC_POSITIONS crystal
Sm 0.1246 0.1246 0.1246
Sm 0.8754 0.8754 0.8754
Er 0.0000 0.0000 0.0000
Ga 0.2625 0.2625 0.2625
Ga 0.7375 0.7375 0.7375
Ag 0.3923 0.3923 0.3923
Ag 0.6077 0.6077 0.6077

***

(5)
! AcYIrO6, optimized geometry, DFT PBE; values from VASP
! **DFT total energy**: -7.586 eV per atom
&SYSTEM
  ibrav = 0, nat = 18, ntyp = 4
/
ATOMIC_SPECIES
Ac 227.00 Ac.upf
Y 88.91 Y.upf
Ir 192.22 Ir.upf
O 16.00 O.upf
CELL_PARAMETERS angstrom
5.8258 0.0000 0.0000
-2.9129 5.0452 0.0000
0.0000 0.0000 8.9586
ATOMIC_POSITIONS crystal
Ac 0.3333 0.6667 0.2500
Ac 0.6667 0.3333 0.7500
Y 0.0000 0.0000 0.0000
Y 0.0000 0.0000 0.5000
Ir 0.3333 0.6667 0.7500
Ir 0.6667 0.3333 0.2500
O 0.0688 0.3755 0.6265
O 0.0688 0.6933 0.8735
O 0.3067 0.3755 0.8735
O 0.3067 0.9312 0.6265
O 0.3755 0.0688 0.1265
O 0.3755 0.3067 0.3735
O 0.6245 0.6933 0.6265
O 0.6245 0.9312 0.8735
O 0.6933 0.0688 0.3735
O 0.6933 0.6245 0.1265
O 0.9312 0.3067 0.1265
O 0.9312 0.6245 0.3735

***

(6)
! AgIr2Au, optimized geometry, DFT PBE; values from VASP
! **ΔE to the lowest computed polymorph**: 0.57 eV/f.u.
! **DFT total energy**: -5.637 eV per atom
! **Energy of formation**: 325 meV/atom
&SYSTEM
  ibrav = 0, nat = 4, ntyp = 3
/
ATOMIC_SPECIES
Ag 107.87 Ag.upf
Ir 192.22 Ir.upf
Au 196.97 Au.upf
CELL_PARAMETERS angstrom
1.3789 -2.4195 0.0000
1.3789 2.4195 0.0000
0.0000 0.0000 9.8493
ATOMIC_POSITIONS crystal
Ag 0.0000 0.0000 0.0000
Ir 0.0000 0.0000 0.4799
Ir 0.5000 0.5000 0.2537
Au 0.5000 0.5000 0.7372

***

(7)
! OsI3Br, optimized geometry, DFT PBE; values from VASP
! **ΔE to the lowest computed polymorph**: 2.58 eV/f.u.
! **DFT total energy**: -2.911 eV per atom
&SYSTEM
  ibrav = 0, nat = 5, ntyp = 3
/
ATOMIC_SPECIES
Os 190.23 Os.upf
I 126.90 I.upf
Br 79.90 Br.upf
CELL_PARAMETERS angstrom
5.4122 0.0000 0.0000
0.0000 5.4122 0.0000
0.0000 0.0000 5.4122
ATOMIC_POSITIONS crystal
Os 0.0000 0.0000 0.0000
I 0.0000 0.0000 0.5000
I 0.0000 0.5000 0.0000
I 0.5000 0.0000 0.0000
Br 0.5000 0.5000 0.5000

***

(8)
! Li2Al2Br, optimized geometry, DFT PBE; values from VASP
! **DFT total energy**: -2.491 eV per atom
&SYSTEM
  ibrav = 0, nat = 5, ntyp = 3
/
ATOMIC_SPECIES
Li 6.94 Li.upf
Al 26.98 Al.upf
Br 79.90 Br.upf
CELL_PARAMETERS angstrom
-2.0597 2.0597 6.7893
2.0597 -2.0597 6.7893
2.0597 2.0597 -6.7893
ATOMIC_POSITIONS crystal
Li 0.2500 0.7500 0.5000
Li 0.7500 0.2500 0.5000
Al 0.0925 0.0925 0.0000
Al 0.9075 0.9075 0.0000
Br 0.5000 0.5000 0.0000

***

(9)
! Sr5Br, optimized geometry, DFT PBE; values from VASP
! **ΔE to the lowest computed polymorph**: 0.00 eV/f.u.
! **DFT total energy**: -2.112 eV per atom
&SYSTEM
  ibrav = 0, nat = 6, ntyp = 2
/
ATOMIC_SPECIES
Sr 87.62 Sr.upf
Br 79.90 Br.upf
CELL_PARAMETERS angstrom
7.1068 -2.0667 0.0000
7.1068 2.0667 0.0000
-3.1445 0.0000 10.0833
ATOMIC_POSITIONS crystal
Sr 0.0000 0.0000 0.0000
Sr 0.0736 0.0736 0.4342
Sr 0.3798 0.3798 0.6165
Sr 0.6798 0.6798 0.7979
Sr 0.7594 0.7594 0.2483
Br 0.3220 0.3220 0.0318

***

(10)
! K2Tl6PtPb, optimized geometry, DFT PBE; values from VASP
! **DFT total energy**: -2.645 eV per atom
! **Energy of formation**: -31 meV/atom
&SYSTEM
  ibrav = 0, nat = 20, ntyp = 4
/
ATOMIC_SPECIES
K 39.10 K.upf
Tl 204.38 Tl.upf
Pt 195.08 Pt.upf
Pb 207.20 Pb.upf
CELL_PARAMETERS angstrom
3.8572 2.2269 13.6806
-3.8572 2.2269 13.6806
0.0000 -4.4539 13.6806
ATOMIC_POSITIONS crystal
K 0.1003 0.1003 0.1003
K 0.2765 0.2765 0.2765
K 0.7235 0.7235 0.7235
K 0.8997 0.8997 0.8997
Tl 0.0837 0.6649 0.6649
Tl 0.2186 0.2186 0.6426
Tl 0.2186 0.6426 0.2186
Tl 0.3351 0.3351 0.9163
Tl 0.3351 0.9163 0.3351
Tl 0.3574 0.7814 0.7814
Tl 0.6426 0.2186 0.2186
Tl 0.6649 0.0837 0.6649
Tl 0.6649 0.6649 0.0837
Tl 0.7814 0.3574 0.7814
Tl 0.7814 0.7814 0.3574
Tl 0.9163 0.3351 0.3351
Pt 0.0000 0.0000 0.0000
Pt 0.5000 0.5000 0.5000
Pb 0.4256 0.4256 0.4256
Pb 0.5744 0.5744 0.5744

***

(11)
! MnAlNi3, optimized geometry, DFT PBE; values from VASP
! **ΔE to the lowest computed polymorph**: 0.00 eV/f.u.
! **DFT total energy**: -5.153 eV per atom
! **Energy of formation**: 898 meV/atom
&SYSTEM
  ibrav = 0, nat = 5, ntyp = 3
/
ATOMIC_SPECIES
Mn 54.94 Mn.upf
Al 26.98 Al.upf
Ni 58.69 Ni.upf
CELL_PARAMETERS angstrom
4.2868 0.0000 0.0000
0.0000 4.2868 0.0000
0.0000 0.0000 4.2868
ATOMIC_POSITIONS crystal
Mn 0.0000 0.0000 0.0000
Al 0.5000 0.5000 0.5000
Ni 0.0000 0.0000 0.5000
Ni 0.0000 0.5000 0.0000
Ni 0.5000 0.0000 0.0000

***

(12)
! CoTe4Ir, optimized geometry, DFT PBE; values from VASP
! **ΔE to the lowest computed polymorph**: 0.00 eV/f.u.
! **DFT total energy**: -4.973 eV per atom
&SYSTEM
  ibrav = 0, nat = 6, ntyp = 3
/
ATOMIC_SPECIES
Co 58.93 Co.upf
Te 127.60 Te.upf
Ir 192.22 Ir.upf
CELL_PARAMETERS angstrom
5.5655 0.0000 0.0000
0.0000 3.8919 0.0000
-0.0029 0.0000 6.7237
ATOMIC_POSITIONS crystal
Co 0.0000 0.0000 0.0000
Te 0.2361 0.5000 0.1552
Te 0.2484 0.0000 0.6768
Te 0.7516 0.0000 0.3232
Te 0.7639 0.5000 0.8448
Ir 0.0000 0.5000 0.5000

***

(13)
! GaTcP2O, optimized geometry, DFT PBE; values from VASP
! **ΔE to the lowest computed polymorph**: 3.67 eV/f.u.
! **DFT total energy**: -5.185 eV per atom
&SYSTEM
  ibrav = 0, nat = 5, ntyp = 4
/
ATOMIC_SPECIES
Ga 69.72 Ga.upf
Tc 98.00 Tc.upf
P 30.97 P.upf
O 16.00 O.upf
CELL_PARAMETERS angstrom
4.8259 0.0000 0.0000
0.0000 4.8259 0.0000
0.0000 0.0000 3.5431
ATOMIC_POSITIONS crystal
Ga 0.0000 0.0000 0.0000
Tc 0.5000 0.5000 0.5000
P 0.0000 0.5000 0.0000
P 0.5000 0.0000 0.0000
O 0.0000 0.0000 0.5000

***

(14)
! TbDyAlRu, optimized geometry, DFT PBE; values from VASP
! **DFT total energy**: -5.906 eV per atom
! **Energy of formation**: -343 meV/atom
&SYSTEM
  ibrav = 0, nat = 4, ntyp = 4
/
ATOMIC_SPECIES
Tb 158.93 Tb.upf
Dy 162.50 Dy.upf
Al 26.98 Al.upf
Ru 101.07 Ru.upf
CELL_PARAMETERS angstrom
0.0000 3.5111 3.5111
3.5111 0.0000 3.5111
3.5111 3.5111 0.0000
ATOMIC_POSITIONS crystal
Tb 0.0000 0.0000 0.0000
Dy 0.5000 0.5000 0.5000
Al 0.2500 0.2500 0.2500
Ru 0.7500 0.7500 0.7500

***

(15)
! RbGaTe2, optimized geometry, DFT PBE; values from VASP
! **DFT total energy**: -3.250 eV per atom
&SYSTEM
  ibrav = 0, nat = 8, ntyp = 3
/
ATOMIC_SPECIES
Rb 85.47 Rb.upf
Ga 69.72 Ga.upf
Te 127.60 Te.upf
CELL_PARAMETERS angstrom
-4.0723 4.0723 4.7500
4.0723 -4.0723 4.7500
4.0723 4.0723 -4.7500
ATOMIC_POSITIONS crystal
Rb 0.0000 0.0000 0.0000
Rb 0.7500 0.2500 0.5000
Ga 0.2500 0.7500 0.5000
Ga 0.5000 0.5000 0.0000
Te 0.2223 0.6250 0.0973
Te 0.3750 0.4723 0.5973
Te 0.5277 0.1250 0.9027
Te 0.8750 0.7777 0.4027

***

(16)
! MnTc2, optimized geometry, DFT PBE; values from VASP
! **ΔE to the lowest computed polymorph**: 2.34 eV/f.u.
! **DFT total energy**: -9.185 eV per atom
! **Energy of formation**: 782 meV/atom
&SYSTEM
  ibrav = 0, nat = 3, ntyp = 2
/
ATOMIC_SPECIES
Mn 54.94 Mn.upf
Tc 98.00 Tc.upf
CELL_PARAMETERS angstrom
4.1728 0.0000 0.0000
0.0000 4.1728 0.0000
0.0000 0.0000 2.6490
ATOMIC_POSITIONS crystal
Mn 0.0000 0.0000 0.0000
Tc 0.0000 0.5000 0.5000
Tc 0.5000 0.0000 0.5000

***

(17)
! Rb2ZrRu, optimized geometry, DFT PBE; values from VASP
! **ΔE to the lowest computed polymorph**: 4.21 eV/f.u.
! **DFT total energy**: -2.926 eV per atom
! **Energy of formation**: 2014 meV/atom
&SYSTEM
  ibrav = 0, nat = 4, ntyp = 3
/
ATOMIC_SPECIES
Rb 85.47 Rb.upf
Zr 91.22 Zr.upf
Ru 101.07 Ru.upf
CELL_PARAMETERS angstrom
0.0000 3.8689 3.8689
3.8689 0.0000 3.8689
3.8689 3.8689 0.0000
ATOMIC_POSITIONS crystal
Rb 0.2500 0.2500 0.2500
Rb 0.7500 0.7500 0.7500
Zr 0.0000 0.0000 0.0000
Ru 0.5000 0.5000 0.5000

***

(18)
! Al2HgRh, optimized geometry, DFT PBE; values from VASP
! **DFT total energy**: -3.782 eV per atom
! **Energy of formation**: 2 meV/atom
&SYSTEM
  ibrav = 0, nat = 4, ntyp = 3
/
ATOMIC_SPECIES
Al 26.98 Al.upf
Hg 200.59 Hg.upf
Rh 102.91 Rh.upf
CELL_PARAMETERS angstrom
0.0000 3.2126 3.2126
3.2126 0.0000 3.2126
3.2126 3.2126 0.0000
ATOMIC_POSITIONS crystal
Al 0.0000 0.0000 0.0000
Al 0.2500 0.2500 0.2500
Hg 0.7500 0.7500 0.7500
Rh 0.5000 0.5000 0.5000

***

(19)
! YRe3Ni, optimized geometry, DFT PBE; values from VASP
! **ΔE to the lowest computed polymorph**: 0.00 eV/f.u.
! **DFT total energy**: -8.670 eV per atom
! **Energy of formation**: 1248 meV/atom
&SYSTEM
  ibrav = 0, nat = 5, ntyp = 3
/
ATOMIC_SPECIES
Y 88.91 Y.upf
Re 186.21 Re.upf
Ni 58.69 Ni.upf
CELL_PARAMETERS angstrom
4.5408 0.0000 0.0000
0.0000 4.5408 0.0000
0.0000 0.0000 4.5408
ATOMIC_POSITIONS crystal
Y 0.0000 0.0000 0.0000
Re 0.0000 0.5000 0.5000
Re 0.5000 0.0000 0.5000
Re 0.5000 0.5000 0.0000
Ni 0.5000 0.5000 0.5000

***

(20)
! BaAgO3, optimized geometry, DFT PBE; values from VASP
! **DFT total energy**: -4.992 eV per atom
&SYSTEM
  ibrav = 0, nat = 10, ntyp = 3
/
ATOMIC_SPECIES
Ba 137.33 Ba.upf
Ag 107.87 Ag.upf
O 16.00 O.upf
CELL_PARAMETERS angstrom
4.0112 0.0000 0.0000
-0.3739 6.6450 0.0000
-1.3379 -1.7549 6.3514
ATOMIC_POSITIONS crystal
Ba 0.0000 0.0000 0.0000
Ba 0.2804 0.6154 0.4283
Ag 0.4712 0.3950 0.9376
Ag 0.6271 0.1608 0.4840
O 0.0439 0.4339 0.6977
O 0.4585 0.0840 0.7478
O 0.4801 0.7195 0.0862
O 0.6798 0.3079 0.2286
O 0.7384 0.8185 0.2759
O 0.9178 0.6328 0.7212

***

(21)
! LaAlTc, optimized geometry, DFT PBE; values from VASP
! **ΔE to the lowest computed polymorph**: 0.97 eV/f.u.
! **DFT total energy**: -6.162 eV per atom
! **Energy of formation**: 184 meV/atom
&SYSTEM
  ibrav = 0, nat = 3, ntyp = 3
/
ATOMIC_SPECIES
La 138.91 La.upf
Al 26.98 Al.upf
Tc 98.00 Tc.upf
CELL_PARAMETERS angstrom
3.6093 0.0000 0.0000
-1.8046 3.1257 0.0000
0.0000 0.0000 6.0275
ATOMIC_POSITIONS crystal
La 0.0000 0.0000 0.0000
Al 0.3333 0.6667 0.5760
Tc 0.6667 0.3333 0.3438

***

(22)
! BaVCr3, optimized geometry, DFT PBE; values from VASP
! **ΔE to the lowest computed polymorph**: 0.00 eV/f.u.
! **DFT total energy**: -6.959 eV per atom
! **Energy of formation**: 1023 meV/atom
&SYSTEM
  ibrav = 0, nat = 5, ntyp = 3
/
ATOMIC_SPECIES
Ba 137.33 Ba.upf
V 50.94 V.upf
Cr 52.00 Cr.upf
CELL_PARAMETERS angstrom
4.8128 0.0000 0.0000
0.0000 4.8128 0.0000
0.0000 0.0000 4.8128
ATOMIC_POSITIONS crystal
Ba 0.0000 0.0000 0.0000
V 0.5000 0.5000 0.5000
Cr 0.0000 0.5000 0.5000
Cr 0.5000 0.0000 0.5000
Cr 0.5000 0.5000 0.0000

***

(23)
! TbPm2Y7, optimized geometry, DFT PBE; values from VASP
! **ΔE to the lowest computed polymorph**: 0.00 eV/f.u.
! **DFT total energy**: -5.919 eV per atom
! **Energy of formation**: 19 meV/atom
&SYSTEM
  ibrav = 0, nat = 10, ntyp = 3
/
ATOMIC_SPECIES
Tb 158.93 Tb.upf
Pm 145.00 Pm.upf
Y 88.91 Y.upf
CELL_PARAMETERS angstrom
6.2014 0.0000 0.0000
-2.0644 6.8726 0.0000
-1.0205 -2.1811 7.6411
ATOMIC_POSITIONS crystal
Tb 0.0000 0.0000 0.0000
Pm 0.3993 0.3001 0.8010
Pm 0.6007 0.6999 0.1990
Y 0.0000 0.5000 0.0000
Y 0.2005 0.3994 0.4002
Y 0.1999 0.9006 0.4006
Y 0.3998 0.8001 0.8006
Y 0.6002 0.1999 0.1994
Y 0.8001 0.0994 0.5994
Y 0.7995 0.6006 0.5998

***

(24)
! K2TaCoRe, optimized geometry, DFT PBE; values from VASP
! **DFT total energy**: -4.131 eV per atom
! **Energy of formation**: 2590 meV/atom
&SYSTEM
  ibrav = 0, nat = 5, ntyp = 4
/
ATOMIC_SPECIES
K 39.10 K.upf
Ta 180.95 Ta.upf
Co 58.93 Co.upf
Re 186.21 Re.upf
CELL_PARAMETERS angstrom
6.3078 0.0000 0.0000
0.0000 6.3078 0.0000
0.0000 0.0000 4.2740
ATOMIC_POSITIONS crystal
K 0.0000 0.5000 0.0000
K 0.5000 0.0000 0.0000
Ta 0.0000 0.0000 0.5000
Co 0.5000 0.5000 0.5000
Re 0.5000 0.5000 0.0000

***

(25)
! NaTbPaSe4, optimized geometry, DFT PBE; values from VASP
! **DFT total energy**: -5.718 eV per atom
&SYSTEM
  ibrav = 0, nat = 14, ntyp = 4
/
ATOMIC_SPECIES
Na 22.99 Na.upf
Tb 158.93 Tb.upf
Pa 231.04 Pa.upf
Se 78.96 Se.upf
CELL_PARAMETERS angstrom
-4.2461 4.3119 6.0279
4.2461 -4.3119 6.0279
4.2461 4.3119 -6.0279
ATOMIC_POSITIONS crystal
Na 0.3814 0.1314 0.2500
Na 0.6186 0.8686 0.7500
Tb 0.0000 0.0000 0.5000
Tb 0.0000 0.5000 0.0000
Pa 0.0000 0.5000 0.5000
Pa 0.5000 0.5000 0.0000
Se 0.2131 0.7362 0.4769
Se 0.2407 0.2638 0.9769
Se 0.2406 0.2646 0.5240
Se 0.2406 0.7166 0.9760
Se 0.7594 0.2834 0.0240
Se 0.7594 0.7354 0.4760
Se 0.7593 0.7362 0.0231
Se 0.7869 0.2638 0.5231

***

(26)
! YCrAs2, optimized geometry, DFT PBE; values from VASP
! **ΔE to the lowest computed polymorph**: 0.35 eV/f.u.
! **DFT total energy**: -7.042 eV per atom
! **Energy of formation**: -695 meV/atom
&SYSTEM
  ibrav = 0, nat = 4, ntyp = 3
/
ATOMIC_SPECIES
Y 88.91 Y.upf
Cr 52.00 Cr.upf
As 74.92 As.upf
CELL_PARAMETERS angstrom
1.9472 1.1242 6.2388
-1.9472 1.1242 6.2388
0.0000 -2.2485 6.2388
ATOMIC_POSITIONS crystal
Y 0.0000 0.0000 0.0000
Cr 0.1752 0.1752 0.1752
As 0.5705 0.5705 0.5705
As 0.7697 0.7697 0.7697